Entry from Alexandria via LeMat-Bulk: a geometry-optimized InNiAu2O6 structure (GGA+U).

The total DFT energy (no corrections) comes out at -4.7202 eV/atom. For the magnetization, the calculation gives 0.100 μB/atom. For the mass density, the calculation gives 8.768 g/cm3. The crystal system is monoclinic.

a = 12.166 Å, b = 7.128 Å, c = 6.056 Å
α = 90.00°, β = 106.85°, γ = 90.00°
Space group C2/c (No. 15)
Symmetry-distinct sites (fractional):
In: 0.000 0.140 0.250 [4 per cell]
Ni: 0.000 0.386 0.750 [4 per cell]
Au: 0.248 0.135 0.758 [8 per cell]
O: 0.074 0.164 0.637 [8 per cell]
O: 0.081 0.404 0.122 [8 per cell]
O: 0.197 0.118 0.320 [8 per cell]